! Pm2NiC PBE optimized geometry; values from VASP
! DOS(E_F): 3.31 states/eV/cell
! size of the total moment: 0.00 μB per atom
! ΔH_f (0 K): 0.195 eV/atom
! E above lowest polymorph: 0.0 meV per atom
&SYSTEM
  ibrav = 0, nat = 4, ntyp = 3
/
ATOMIC_SPECIES
Pm 145.00 Pm.upf
Ni 58.69 Ni.upf
C 12.01 C.upf
ATOMIC_POSITIONS crystal
Pm 0.000 0.000 0.215
Pm 0.000 0.000 0.785
Ni 0.500 0.500 0.500
C 0.500 0.500 0.000
CELL_PARAMETERS angstrom
-1.920 -0.661 2.587
-2.194 -1.424 -1.993
3.118 -5.922 0.800


! Fe3SnPd PBE optimized geometry; values from VASP
! DOS(E_F): 4.70 states/eV/cell
! size of the total moment: 1.95 μB per atom
! ΔH_f (0 K): 0.990 eV/atom
! E above lowest polymorph: 0.0 meV per atom
&SYSTEM
  ibrav = 0, nat = 5, ntyp = 3
/
ATOMIC_SPECIES
Pd 106.42 Pd.upf
Fe 55.84 Fe.upf
Sn 118.71 Sn.upf
ATOMIC_POSITIONS crystal
Pd 0.000 0.000 0.000
Fe 0.500 0.000 0.000
Fe 0.000 0.500 0.000
Fe 0.000 0.000 0.500
Sn 0.500 0.500 0.500
CELL_PARAMETERS angstrom
-3.932 -1.613 2.035
2.266 -0.328 4.118
-1.268 4.415 1.050